[1]
{"formula": "Ac2BCN", "functional": "PBE", "state": "relaxed", "dos_ef_per_ev_cell": 3.293, "e_form_raw_ev_per_atom": -0.337, "spacegroup": "P2_1/m (11)", "cell": [[-0.9640, -2.8262, 1.6044], [3.1538, 2.1917, 5.7557], [-7.3549, 2.7273, 0.3851]], "species": ["B", "B", "Ac", "N", "N", "C", "C", "Ac", "Ac", "Ac"], "fractional_positions": [[0.7500, 0.4123, 0.2207], [0.2500, 0.5877, 0.7793], [0.7500, 0.7364, 0.5524], [0.7500, 0.1881, 0.1638], [0.2500, 0.8119, 0.8362], [0.7500, 0.4672, 0.7564], [0.2500, 0.5328, 0.2436], [0.2500, 0.2185, 0.9218], [0.2500, 0.2636, 0.4476], [0.7500, 0.7815, 0.0782]]}

---

[2]
{"formula": "SmAg12", "functional": "PBE", "state": "relaxed", "dos_ef_per_ev_cell": 5.000, "formation_enthalpy_0k_kcal_per_mol_atoms": -0.6, "spacegroup": "I4/mmm (139)", "cell": [[-0.6993, -0.7943, -5.4212], [6.3409, 0.2549, -3.6691], [0.4282, -7.0851, -1.8310]], "species": ["Ag", "Ag", "Ag", "Ag", "Ag", "Sm", "Ag", "Ag", "Ag", "Ag", "Ag", "Ag", "Ag"], "fractional_positions": [[0.5000, 0.7860, 0.2140], [0.0000, 0.0000, 0.5000], [0.0000, 0.6492, 0.3508], [0.5000, 0.2140, 0.7860], [0.5000, 0.0000, 0.5000], [0.0000, 0.0000, 0.0000], [0.2860, 0.2140, 0.2140], [0.5000, 0.5000, 0.0000], [0.0000, 0.5000, 0.0000], [0.7140, 0.7860, 0.7860], [0.3508, 0.6492, 0.6492], [0.6492, 0.3508, 0.3508], [0.0000, 0.3508, 0.6492]]}

---

[3]
{"formula": "LaOsCl4", "functional": "PBE", "state": "relaxed", "dos_ef_per_ev_cell": 8.579, "e_form_raw_ev_per_atom": 0.392, "spacegroup": "F-43m (216)", "cell": [[-5.2790, -0.4038, 2.4302], [-2.0301, 4.3535, 3.2958], [-4.3641, 3.3339, -1.9435]], "species": ["Cl", "Os", "Cl", "La", "Cl", "Cl"], "fractional_positions": [[0.3748, 0.8757, 0.3748], [0.0000, 0.0000, 0.0000], [0.3748, 0.3748, 0.3748], [0.7500, 0.7500, 0.7500], [0.3748, 0.3748, 0.8757], [0.8757, 0.3748, 0.3748]]}

---

[4]
{"formula": "Hf2BeSbBr", "functional": "PBE", "state": "relaxed", "dos_ef_per_ev_cell": 3.405, "e_form_raw_ev_per_atom": 0.344, "spacegroup": "P4/mmm (123)", "cell": [[-2.5081, 3.9979, 1.5781], [-3.1399, -0.9080, -2.6900], [-2.2020, -2.7644, 3.5034]], "species": ["Hf", "Sb", "Hf", "Be", "Br"], "fractional_positions": [[0.0000, 0.0000, 0.5000], [0.5000, 0.5000, 0.5000], [0.5000, 0.0000, 0.0000], [0.0000, 0.0000, 0.0000], [0.0000, 0.5000, 0.0000]]}

---

[5]
{"formula": "AgPtS4", "functional": "PBE", "state": "relaxed", "dos_ef_per_ev_cell": 3.673, "e_form_raw_ev_per_atom": 0.067, "spacegroup": "P-1 (2)", "cell": [[-2.4960, 2.0740, -6.4392], [-5.6768, -1.1543, 3.4037], [3.4669, 4.5831, 5.1047]], "species": ["S", "S", "Ag", "S", "Pt", "S", "Ag", "S", "S", "Pt", "S", "S"], "fractional_positions": [[0.8941, 0.2319, 0.3871], [0.1058, 0.7680, 0.6129], [0.7840, 0.4348, 0.5874], [0.7006, 0.6137, 0.8254], [0.2491, 0.0025, 0.9941], [0.6071, 0.9270, 0.2133], [0.2160, 0.5652, 0.4126], [0.0515, 0.8276, 0.1193], [0.3929, 0.0730, 0.7867], [0.7509, 0.9975, 0.0059], [0.2994, 0.3863, 0.1746], [0.9485, 0.1724, 0.8807]]}

---

[6]
{"formula": "NaIF4", "functional": "PBE", "state": "relaxed", "e_form_raw_ev_per_atom": -1.686, "spacegroup": "P2_1/c (14)", "de_polymorph_ev_per_atom": 0.000, "cell": [[-5.3323, -4.9614, -3.7260], [7.9252, -0.7089, -0.9933], [0.2940, -4.4771, 5.5409]], "species": ["F", "F", "F", "F", "Na", "I", "F", "F", "F", "F", "I", "F", "I", "Na", "F", "Na", "F", "Na", "F", "F", "I", "F", "F", "F"], "fractional_positions": [[0.3710, 0.1935, 0.5364], [0.0288, 0.1269, 0.7000], [0.2442, 0.5227, 0.5403], [0.8400, 0.2249, 0.3267], [0.6315, 0.7016, 0.1327], [0.0867, 0.6964, 0.0996], [0.6290, 0.8065, 0.4636], [0.7558, 0.4773, 0.4597], [0.2558, 0.9773, 0.0403], [0.6600, 0.2751, 0.8267], [0.5867, 0.1964, 0.4004], [0.1600, 0.7751, 0.6733], [0.9133, 0.3036, 0.9004], [0.8685, 0.7984, 0.6327], [0.1290, 0.3065, 0.0364], [0.3685, 0.2984, 0.8673], [0.7442, 0.0227, 0.9597], [0.1315, 0.2016, 0.3673], [0.9712, 0.8731, 0.3000], [0.5288, 0.6269, 0.8000], [0.4133, 0.8036, 0.5996], [0.8710, 0.6935, 0.9636], [0.3400, 0.7249, 0.1733], [0.4712, 0.3731, 0.2000]]}